## A
Here is a geometry-optimized SmPuAg structure from Alexandria via LeMat-Bulk. Energies are from GGA-PBE.

Summary:
The calculation puts the density of states at the Fermi level at 3.8 states/eV/f.u. Its crystal system is orthorhombic.

Cell lengths 3.345, 3.356, 12.682 Å; angles 90.00, 97.58, 90.00 degrees
Element x y z (fractional)
Pu  0.236  0.750  0.473
Sm  0.872  0.750  0.744
Sm  0.128  0.250  0.256
Ag  0.545  0.750  0.091
Pu  0.764  0.250  0.527
Ag  0.455  0.250  0.909

## B
Here is a geometry-optimized SmPuAg structure from Alexandria via LeMat-Bulk. Energies are from GGA-PBE.

Summary:
The calculation puts the density of states at the Fermi level at 10.0 states/eV/f.u. Its crystal system is tetragonal.

Cell lengths 3.599, 3.599, 6.813 Å; angles 105.31, 105.31, 90.00 degrees
Element x y z (fractional)
Pu  0.015  0.015  0.030
Sm  0.316  0.316  0.633
Ag  0.669  0.669  0.338

Of them, the most stable is B and the least stable is A.

## A
Here is a geometry-optimized Tb2PuAg structure from Alexandria via LeMat-Bulk. Energies are from GGA-PBE.

Summary:
The calculation puts the density of states at the Fermi level at 8.9 states/eV/f.u. Its crystal system is tetragonal.

Cell lengths 3.557, 3.557, 8.538 Å; angles 90.00, 90.00, 90.00 degrees
Element x y z (fractional)
Tb  0.000  0.000  0.779
Tb  0.000  0.000  0.221
Ag  0.500  0.500  0.000
Pu  0.500  0.500  0.500

## B
Here is a geometry-optimized Tb2PuAg structure from Alexandria via LeMat-Bulk. Energies are from GGA-PBE.

Summary:
The calculation puts the density of states at the Fermi level at 9.8 states/eV/f.u. Its crystal system is trigonal.

Cell lengths 3.485, 3.485, 10.669 Å; angles 80.60, 80.60, 60.00 degrees
Element x y z (fractional)
Tb  0.744  0.744  0.769
Tb  0.256  0.256  0.231
Ag  0.000  0.000  0.000
Pu  0.500  0.500  0.500

Of them, the most stable is A and the least stable is B.